{"formula": "RbGaAs3", "functional": "GGA-PBE", "state": "optimized geometry", "formation_energy_kj_per_mol_fu": 756, "relative_energy_mev_per_atom": 1276.3, "cell": [[5.7166, 0.0000, 0.0000], [0.0000, 5.7166, 0.0000], [0.0000, 0.0000, 5.7166]], "species": ["As", "As", "As", "Rb", "Ga"], "fractional_positions": [[0.5000, 0.0000, 0.0000], [0.0000, 0.5000, 0.0000], [0.0000, 0.0000, 0.5000], [0.0000, 0.0000, 0.0000], [0.5000, 0.5000, 0.5000]]}

{"formula": "Rb3GaAs", "functional": "GGA-PBE", "state": "optimized geometry", "formation_energy_kj_per_mol_fu": -110, "relative_energy_mev_per_atom": 0.0, "cell": [[-3.5509, 3.2100, 5.9542], [-5.0407, -1.6782, -2.0868], [0.7430, -8.4400, 4.9933]], "species": ["Rb", "Rb", "Rb", "Rb", "Rb", "Rb", "As", "As", "Ga", "Ga"], "fractional_positions": [[0.0551, 0.7332, 0.8387], [0.5055, 0.2325, 0.3387], [0.0551, 0.7332, 0.2661], [0.5055, 0.2325, 0.7661], [0.0350, 0.2332, 0.5524], [0.5256, 0.7325, 0.0524], [0.3536, 0.7327, 0.5524], [0.2070, 0.2329, 0.0524], [0.8910, 0.2330, 0.0524], [0.6696, 0.7327, 0.5524]]}

{"formula": "Rb2GaAs2", "functional": "GGA-PBE", "state": "optimized geometry", "formation_energy_kj_per_mol_fu": -178, "relative_energy_mev_per_atom": 114.5, "cell": [[-5.5057, 0.2247, 4.7278], [-0.1013, -7.4928, 0.2382], [6.5880, 0.9859, 2.0500]], "species": ["Rb", "Rb", "Rb", "Rb", "Ga", "Ga", "As", "As", "As", "As"], "fractional_positions": [[0.7738, 0.6245, 0.3032], [0.5294, 0.1245, 0.3032], [0.4706, 0.8755, 0.6968], [0.2262, 0.3755, 0.6968], [0.9789, 0.2500, 0.0000], [0.0211, 0.7500, 0.0000], [0.2580, 0.5199, 0.2368], [0.7420, 0.4801, 0.7632], [0.9788, 0.0199, 0.2368], [0.0212, 0.9801, 0.7632]]}

{"formula": "RbGa2As2", "functional": "GGA-PBE", "state": "optimized geometry", "formation_energy_kj_per_mol_fu": -43, "relative_energy_mev_per_atom": 283.1, "cell": [[-8.3251, -0.9610, 2.3892], [2.5381, -4.4295, 7.0624], [0.1849, 3.1597, 1.9153]], "species": ["Ga", "Ga", "Ga", "Ga", "As", "As", "As", "As", "Rb", "Rb"], "fractional_positions": [[0.8685, 0.3685, 0.5000], [0.1315, 0.6315, 0.5000], [0.3685, 0.1315, 0.5000], [0.6315, 0.8685, 0.5000], [0.3958, 0.8958, 0.0000], [0.6042, 0.1042, 0.0000], [0.1042, 0.3958, 0.0000], [0.8958, 0.6042, 0.0000], [0.5000, 0.5000, 0.0000], [0.0000, 0.0000, 0.0000]]}

{"formula": "RbGaAs2", "functional": "GGA-PBE", "state": "optimized geometry", "formation_energy_kj_per_mol_fu": -52, "relative_energy_mev_per_atom": 44.0, "cell": [[-3.9173, -1.9509, -3.5005], [3.9732, -2.5287, -3.0370], [-0.7430, -9.0373, 1.3825]], "species": ["As", "As", "As", "As", "Ga", "Ga", "Rb", "Rb"], "fractional_positions": [[0.3750, 0.5603, 0.7500], [0.4397, 0.1250, 0.2500], [0.3103, 0.6250, 0.2500], [0.8750, 0.6897, 0.7500], [0.5000, 0.5000, 0.0000], [0.2500, 0.7500, 0.5000], [0.7500, 0.2500, 0.5000], [0.0000, 0.0000, 0.0000]]}

{"formula": "RbGaAs2", "functional": "GGA-PBE", "state": "optimized geometry", "formation_energy_kj_per_mol_fu": 48, "relative_energy_mev_per_atom": 303.5, "cell": [[-4.8240, -0.0045, -3.8690], [-4.6878, -3.9296, 0.9075], [-5.0433, 1.4612, 1.3446]], "species": ["As", "As", "Rb", "Ga"], "fractional_positions": [[0.8125, 0.8125, 0.5625], [0.1875, 0.1875, 0.4375], [0.5000, 0.5000, 0.5000], [0.0000, 0.0000, 0.0000]]}

{"formula": "Rb5GaAs2", "functional": "GGA-PBE", "state": "optimized geometry", "formation_energy_kj_per_mol_fu": -215, "cell": [[-5.2195, 2.8532, -0.2643], [-2.9057, 0.4177, -5.1804], [-10.0495, -12.0555, 1.2427]], "species": ["Rb", "Rb", "Rb", "Rb", "Rb", "As", "As", "Ga"], "fractional_positions": [[0.3650, 0.3650, 0.9051], [0.6350, 0.6350, 0.0949], [0.2474, 0.2474, 0.2579], [0.5000, 0.5000, 0.5000], [0.7526, 0.7526, 0.7421], [0.0501, 0.0501, 0.8497], [0.9499, 0.9499, 0.1503], [0.0000, 0.0000, 0.0000]]}

{"formula": "Rb3Ga2As3", "functional": "GGA-PBE", "state": "optimized geometry", "formation_energy_kj_per_mol_fu": -292, "cell": [[4.4252, 0.0000, 0.0000], [-2.2126, 7.4505, 0.0000], [0.0000, 0.0000, 15.0434]], "species": ["Rb", "Rb", "Rb", "Rb", "Rb", "Rb", "As", "As", "As", "As", "As", "As", "Ga", "Ga", "Ga", "Ga"], "fractional_positions": [[0.3593, 0.7185, 0.7500], [0.9333, 0.8666, 0.3896], [0.0667, 0.1334, 0.6104], [0.0667, 0.1334, 0.8896], [0.9333, 0.8666, 0.1104], [0.6407, 0.2815, 0.2500], [0.6846, 0.3693, 0.7500], [0.3446, 0.6891, 0.5419], [0.3446, 0.6891, 0.9581], [0.3154, 0.6307, 0.2500], [0.6554, 0.3109, 0.4581], [0.6554, 0.3109, 0.0419], [0.7599, 0.5197, 0.5933], [0.2401, 0.4803, 0.0933], [0.2401, 0.4803, 0.4067], [0.7599, 0.5197, 0.9067]]}

{"formula": "Rb2GaAs2", "functional": "GGA-PBE", "state": "optimized geometry", "formation_energy_kj_per_mol_fu": -99, "relative_energy_mev_per_atom": 279.5, "cell": [[-6.5963, 2.9364, 1.6925], [-3.3449, -5.0426, -4.2875], [-0.4182, -3.5008, 4.4436]], "species": ["As", "As", "As", "As", "Rb", "Rb", "Rb", "Rb", "Ga", "Ga"], "fractional_positions": [[0.3824, 0.8824, 0.0000], [0.1176, 0.3824, 0.0000], [0.8824, 0.6176, 0.0000], [0.6176, 0.1176, 0.0000], [0.3222, 0.1778, 0.5000], [0.8222, 0.3222, 0.5000], [0.6778, 0.8222, 0.5000], [0.1778, 0.6778, 0.5000], [0.0000, 0.0000, 0.0000], [0.5000, 0.5000, 0.0000]]}

{"formula": "Rb2GaAs2", "functional": "GGA-PBE", "state": "optimized geometry", "formation_energy_kj_per_mol_fu": 48, "relative_energy_mev_per_atom": 583.7, "cell": [[-3.3330, -3.4023, 2.2185], [3.5911, -3.8093, -0.4468], [2.5746, -2.0171, 6.9964]], "species": ["Rb", "Rb", "As", "As", "Ga"], "fractional_positions": [[0.7500, 0.2500, 0.5000], [0.2500, 0.7500, 0.5000], [0.4150, 0.4150, 0.1701], [0.5850, 0.5850, 0.8299], [0.0000, 0.0000, 0.0000]]}

{"formula": "Rb3GaAs", "functional": "GGA-PBE", "state": "optimized geometry", "formation_energy_kj_per_mol_fu": 101, "relative_energy_mev_per_atom": 436.6, "cell": [[6.7277, 0.0000, 0.0000], [0.0000, 6.7277, 0.0000], [0.0000, 0.0000, 6.7277]], "species": ["Rb", "Rb", "Rb", "As", "Ga"], "fractional_positions": [[0.5000, 0.0000, 0.0000], [0.0000, 0.0000, 0.5000], [0.0000, 0.5000, 0.0000], [0.0000, 0.0000, 0.0000], [0.5000, 0.5000, 0.5000]]}

{"formula": "RbGa2As", "functional": "GGA-PBE", "state": "optimized geometry", "formation_energy_kj_per_mol_fu": -13, "cell": [[8.3884, 0.0000, 0.0000], [0.0000, 8.3884, 0.0000], [4.1942, 4.1942, 3.3979]], "species": ["Ga", "Ga", "Ga", "Ga", "As", "As", "Rb", "Rb"], "fractional_positions": [[0.2056, 0.6250, 0.2500], [0.5444, 0.1250, 0.2500], [0.3750, 0.4556, 0.7500], [0.8750, 0.7944, 0.7500], [0.5000, 0.5000, 0.0000], [0.2500, 0.7500, 0.5000], [0.7500, 0.2500, 0.5000], [0.0000, 0.0000, 0.0000]]}

{"formula": "Rb5Ga4As4", "functional": "GGA-PBE", "state": "optimized geometry", "formation_energy_kj_per_mol_fu": -314, "cell": [[4.3287, 0.0000, 1.1006], [2.1643, 9.4823, 0.5503], [-0.1722, 0.0000, 9.7402]], "species": ["Ga", "Ga", "Ga", "Ga", "As", "As", "As", "As", "Rb", "Rb", "Rb", "Rb", "Rb"], "fractional_positions": [[0.4399, 0.6472, 0.4729], [0.0872, 0.4729, 0.3528], [0.9128, 0.5271, 0.6472], [0.5601, 0.3528, 0.5271], [0.2917, 0.6661, 0.7504], [0.9579, 0.7504, 0.3339], [0.7083, 0.3339, 0.2496], [0.0421, 0.2496, 0.6661], [0.2922, 0.0666, 0.3489], [0.3588, 0.3489, 0.9334], [0.7078, 0.9334, 0.6511], [0.0000, 0.0000, 0.0000], [0.6412, 0.6511, 0.0666]]}

{"formula": "Rb3Ga2As4", "functional": "GGA-PBE", "state": "optimized geometry", "formation_energy_kj_per_mol_fu": -345, "cell": [[-2.7235, -1.6444, -2.7457], [-1.4494, -6.0870, 5.0831], [-3.8842, 8.4994, 1.9787]], "species": ["As", "As", "As", "As", "Rb", "Rb", "Rb", "Ga", "Ga"], "fractional_positions": [[0.2028, 0.1298, 0.4056], [0.4819, 0.3359, 0.9638], [0.7972, 0.8702, 0.5944], [0.5181, 0.6641, 0.0362], [0.8501, 0.4615, 0.7002], [0.1499, 0.5385, 0.2998], [0.0000, 0.0000, 0.0000], [0.6705, 0.9204, 0.3411], [0.3295, 0.0796, 0.6589]]}

{"formula": "RbGa2As2", "functional": "GGA-PBE", "state": "optimized geometry", "formation_energy_kj_per_mol_fu": -29, "relative_energy_mev_per_atom": 311.7, "cell": [[3.9573, 0.0000, 0.0000], [0.0000, 3.9573, 0.0000], [0.0000, 0.0000, 8.3733]], "species": ["Ga", "Ga", "As", "As", "Rb"], "fractional_positions": [[0.0000, 0.5000, 0.5000], [0.5000, 0.0000, 0.5000], [0.5000, 0.5000, 0.2822], [0.5000, 0.5000, 0.7178], [0.0000, 0.0000, 0.0000]]}

{"formula": "RbGa2As2", "functional": "GGA-PBE", "state": "optimized geometry", "formation_energy_kj_per_mol_fu": -5, "relative_energy_mev_per_atom": 363.0, "cell": [[-2.0156, -7.1505, 3.7134], [7.9563, -1.1621, 2.0808], [-0.5214, 1.6654, 2.9238]], "species": ["Rb", "Rb", "Ga", "Ga", "Ga", "Ga", "As", "As", "As", "As"], "fractional_positions": [[0.0000, 0.0000, 0.0000], [0.5000, 0.5000, 0.0000], [0.8752, 0.6248, 0.0000], [0.3752, 0.8752, 0.0000], [0.1248, 0.3752, 0.0000], [0.6248, 0.1248, 0.0000], [0.1549, 0.6549, 0.5000], [0.6549, 0.8451, 0.5000], [0.3451, 0.1549, 0.5000], [0.8451, 0.3451, 0.5000]]}

{"formula": "RbGaAs2", "functional": "GGA-PBE", "state": "optimized geometry", "formation_energy_kj_per_mol_fu": -69, "relative_energy_mev_per_atom": 0.0, "cell": [[5.7284, -0.3233, 0.5712], [-2.1410, 7.7563, 0.8054], [2.1410, 4.6834, 6.2350]], "species": ["Rb", "Rb", "As", "As", "As", "As", "Ga", "Ga"], "fractional_positions": [[0.0000, 0.2497, 0.7497], [0.0000, 0.7503, 0.2503], [0.1206, 0.8102, 0.6898], [0.5000, 0.3798, 0.8798], [0.8794, 0.1898, 0.3102], [0.5000, 0.6202, 0.1202], [0.4997, 0.7416, 0.7584], [0.5003, 0.2584, 0.2416]]}

{"formula": "RbGaAs3", "functional": "GGA-PBE", "state": "optimized geometry", "formation_energy_kj_per_mol_fu": 140, "relative_energy_mev_per_atom": 0.0, "cell": [[-1.0296, -4.1833, -2.7973], [2.1625, -2.9460, 3.6097], [-4.5441, -0.4541, 2.3517]], "species": ["As", "As", "As", "Rb", "Ga"], "fractional_positions": [[0.5000, 0.0000, 0.0000], [0.0000, 0.0000, 0.5000], [0.0000, 0.5000, 0.0000], [0.5000, 0.5000, 0.5000], [0.0000, 0.0000, 0.0000]]}

{"formula": "Rb2GaAsS4", "functional": "GGA-PBE", "state": "optimized geometry", "formation_energy_uncorrected_ev_per_atom": -0.741, "cell": [[-2.9888, -1.0462, 5.2812], [-4.4728, -6.2609, -0.1817], [7.4699, -7.0371, 6.4233]], "species": ["S", "S", "S", "S", "S", "S", "S", "S", "As", "As", "Ga", "Ga", "Rb", "Rb", "Rb", "Rb"], "fractional_positions": [[0.1256, 0.3097, 0.3940], [0.4805, 0.6903, 0.3940], [0.2695, 0.8097, 0.1060], [0.5647, 0.3097, 0.6060], [0.8292, 0.6903, 0.6060], [0.1853, 0.1903, 0.8940], [0.6244, 0.1903, 0.1060], [0.9208, 0.8097, 0.8940], [0.2500, 0.5000, 0.5000], [0.5000, 0.0000, 0.0000], [0.7500, 0.5000, 0.5000], [0.0000, 0.0000, 0.0000], [0.8205, 0.0000, 0.3590], [0.5705, 0.5000, 0.8590], [0.9295, 0.5000, 0.1410], [0.1795, 0.0000, 0.6410]]}

{"formula": "RbGa2AsS6", "functional": "GGA-PBE", "state": "optimized geometry", "formation_energy_uncorrected_ev_per_atom": -0.440, "cell": [[7.3212, 0.1898, 0.1970], [2.5654, 9.1813, -0.1803], [2.5654, -0.5205, 9.1683]], "species": ["S", "S", "S", "S", "S", "S", "S", "S", "S", "S", "S", "S", "Ga", "Ga", "Ga", "Ga", "Rb", "Rb", "As", "As"], "fractional_positions": [[0.5531, 0.6582, 0.7809], [0.0531, 0.7809, 0.6582], [0.1956, 0.0350, 0.7187], [0.3044, 0.2813, 0.9650], [0.8044, 0.9650, 0.2813], [0.6956, 0.7187, 0.0350], [0.9625, 0.3858, 0.7241], [0.4469, 0.3418, 0.2191], [0.9469, 0.2191, 0.3418], [0.0375, 0.6142, 0.2759], [0.4625, 0.7241, 0.3858], [0.5375, 0.2759, 0.6142], [0.3832, 0.7795, 0.6356], [0.1168, 0.3644, 0.2205], [0.6168, 0.2205, 0.3644], [0.8832, 0.6356, 0.7795], [0.7500, 0.0817, 0.9183], [0.2500, 0.9183, 0.0817], [0.7500, 0.7511, 0.2489], [0.2500, 0.2489, 0.7511]]}

{"formula": "RbGaSbAs", "functional": "GGA-PBE", "state": "optimized geometry", "formation_energy_uncorrected_ev_per_atom": -0.090, "cell": [[3.1464, 0.2434, -0.4882], [0.4521, 7.2605, 0.4390], [1.0839, 4.4793, 5.6872]], "species": ["As", "Ga", "Rb", "Sb"], "fractional_positions": [[0.5827, 0.9336, 0.9647], [0.9029, 0.2818, 0.9183], [0.2002, 0.3277, 0.3548], [0.6399, 0.7740, 0.4180]]}

{"formula": "Rb2Ga2Sb2As", "functional": "GGA-PBE", "state": "optimized geometry", "formation_energy_uncorrected_ev_per_atom": -0.168, "cell": [[4.3761, -0.0018, -0.0001], [2.1848, 7.0120, 1.2884], [-0.0005, 3.1975, 9.0667]], "species": ["Sb", "Sb", "Ga", "Ga", "As", "Rb", "Rb"], "fractional_positions": [[0.2169, 0.5676, 0.5902], [0.7831, 0.4324, 0.4098], [0.1854, 0.6281, 0.2127], [0.8146, 0.3719, 0.7873], [0.0000, 0.0000, 0.0000], [0.4666, 0.0672, 0.2533], [0.5334, 0.9328, 0.7467]]}

{"formula": "RbGaAs2Se", "functional": "GGA-PBE", "state": "optimized geometry", "relative_energy_mev_per_atom": 1209.0, "formation_energy_uncorrected_ev_per_atom": 1.317, "cell": [[-1.3072, 2.2012, 5.1956], [3.0258, -4.2282, 2.5526], [4.8991, 3.3844, -0.2013]], "species": ["As", "As", "Se", "Ga", "Rb"], "fractional_positions": [[0.5000, 0.0000, 0.0000], [0.0000, 0.5000, 0.0000], [0.0000, 0.0000, 0.5000], [0.5000, 0.5000, 0.5000], [0.0000, 0.0000, 0.0000]]}